## NbCr2W (PBE)

Data for a relaxed structure of NbCr2W.

Cell: 6.1298 6.1298 6.1298 Å, 90.00 90.00 90.00°
Space group Fm-3m (No. 225)
Asymmetric unit:
Nb1 0.0000 0.0000 0.0000
Cr1 0.2500 0.2500 0.2500
W1 0.0000 0.0000 0.5000

Values from the calculation:
- DOS(E_F): 2.6 states/eV/f.u.
- Polymorph energy (0 for the lowest one): 0.000 eV/atom